Entry from Alexandria: a PBEsol-optimized structure of LaRhAu2 (meta-GGA SCAN).

Cell lengths 3.833, 3.833, 5.456 Å; angles 90.00, 90.00, 90.00 degrees
Element x y z (fractional)
Au: 0.000 0.000 0.740
Au: 0.000 0.000 0.260
La: 0.500 0.500 0.000
Rh: 0.500 0.500 0.500

Calculated values
DFT formation energy: -549 meV/atom
calculated total energy: -54.346 eV/atom
DOS at the Fermi energy: 1.27 states/eV/f.u.
total magnetization: 0.00 μB per formula unit

=====

Entry from Alexandria: a PBEsol-optimized structure of LaRh3Au (meta-GGA SCAN).

Cell lengths 4.804, 4.804, 4.804 Å; angles 90.00, 90.00, 90.00 degrees
Each line ends with the local moment (μB).
Element x y z (fractional)
Rh: 0.000 0.500 0.000  0.30
Rh: 0.000 0.000 0.500  0.30
Rh: 0.500 0.000 0.000  0.30
Au: 0.000 0.000 0.000  0.13
La: 0.500 0.500 0.500  -0.02

Calculated values
DFT formation energy: 597 meV/atom
calculated total energy: -42.118 eV/atom
DOS at the Fermi energy: 10.53 states/eV/f.u.
total magnetization: 0.94 μB per formula unit

=====

Entry from Alexandria: a PBEsol-optimized structure of LaRhAu2 (meta-GGA SCAN).

Cell lengths 3.996, 4.001, 5.529 Å; angles 111.21, 111.18, 90.00 degrees
Element x y z (fractional)
Au: 0.750 0.750 0.500
Au: 0.250 0.250 0.500
Rh: 0.000 0.500 0.000
La: 0.500 0.000 0.000

Calculated values
DFT formation energy: -664 meV/atom
calculated total energy: -54.462 eV/atom
DOS at the Fermi energy: 0.82 states/eV/f.u.
total magnetization: 0.00 μB per formula unit

=====

Entry from Alexandria: a PBEsol-optimized structure of LaRh2Au2 (meta-GGA SCAN).

Cell lengths 3.932, 3.932, 6.878 Å; angles 106.61, 106.61, 90.00 degrees
Each line ends with the local moment (μB).
Element x y z (fractional)
Au: 0.605 0.605 0.211  0.01
Au: 0.395 0.395 0.789  0.01
La: 0.000 0.000 0.000  -0.05
Rh: 0.250 0.750 0.500  0.59
Rh: 0.750 0.250 0.500  0.59

Calculated values
DFT formation energy: -378 meV/atom
calculated total energy: -50.170 eV/atom
DOS at the Fermi energy: 3.88 states/eV/f.u.
total magnetization: 1.02 μB per formula unit